DFT (PBE) results for a geometry-optimized Nd4PtAuSe2 structure.

calculated density: 8.44 g cm⁻³
V: 27.7 A^3/atom
DFT total energy: -0.423 Ry/atom
total magnetization: 0.00 μB per formula unit

a b c (Å): 7.236 4.164 7.735
angles (deg): 90.00 107.94 90.00
Space group P2/m (No. 10)
Unique sites:
Nd  0.240  0.000  0.238
Nd  0.244  0.500  0.756
Pt  0.000  0.500  0.000
Au  0.500  0.000  0.000
Se  0.000  0.000  0.500
Se  0.500  0.500  0.500

=====

DFT (PBE) results for a geometry-optimized NdSi2Pt5Au structure.

calculated density: 12.62 g cm⁻³
V: 20.1 A^3/atom
DFT total energy: -0.443 Ry/atom
total magnetization: 0.00 μB per formula unit

a b c (Å): 4.075 4.075 10.877
angles (deg): 90.00 90.00 90.00
Space group P4/mmm (No. 123)
Unique sites:
Nd  0.000  0.000  0.000
Si  0.500  0.500  0.216
Pt  0.000  0.500  0.323
Pt  0.500  0.500  0.000
Au  0.000  0.000  0.500

=====

DFT (PBE) results for a geometry-optimized Nd2Si3Pt4Au structure.

calculated density: 11.85 g cm⁻³
V: 18.9 A^3/atom
DFT total energy: -0.461 Ry/atom
total magnetization: 0.00 μB per formula unit

a b c (Å): 4.307 4.307 10.203
angles (deg): 90.00 90.00 90.00
Space group P-4m2 (No. 115)
Unique sites:
Nd  0.000  0.500  0.246
Si  0.000  0.000  0.000
Si  0.000  0.500  0.621
Pt  0.000  0.000  0.500
Pt  0.000  0.500  0.849
Pt  0.500  0.500  0.500
Au  0.500  0.500  0.000

=====

| no. | uncorrected formation energy (meV per atom) |
| --- | --- |
| 1 | -1335 |
| 2 | -575 |
| 3 | -947 |